# 1
{
  "formula": "Sc3BiB",
  "functional": "PBE",
  "state": "optimized geometry",
  "lattice_angstrom": [[-9.331, -13.090, -5.330], [-0.683, -6.150, 0.218], [0.494, 4.459, 4.268]],
  "species": ["Sc", "Sc", "Sc", "Sc", "Sc", "Sc", "B", "B", "Bi", "Bi"],
  "fractional_positions": [[0.198, 0.696, 0.304], [0.802, 0.304, 0.696], [0.939, 0.419, 0.581], [0.061, 0.581, 0.419], [0.330, 0.800, 0.200], [0.670, 0.200, 0.800], [0.936, 0.939, 0.061], [0.064, 0.061, 0.939], [0.577, 0.036, 0.964], [0.423, 0.964, 0.036]],
  "total_magnetization_mub_per_cell": 0.000,
  "relative_energy_mev_per_atom": 191,
  "density_g_cm3": 5.5,
  "formation_enthalpy_0k_ev_per_atom": -0.38,
  "space_group": "No. 12",
  "energy_ev_per_fu": -31.4
}

=====

# 2
{
  "formula": "CrHOsPt2",
  "functional": "PBE",
  "state": "optimized geometry",
  "lattice_angstrom": [[4.863, 0.000, 0.000], [0.000, 4.668, 0.000], [0.000, 0.000, 4.863]],
  "species": ["Cr", "Os", "Pt", "Pt", "H"],
  "fractional_positions": [[0.000, 0.500, 0.000], [0.000, 0.000, 0.000], [0.000, 0.000, 0.500], [0.500, 0.000, 0.000], [0.500, 0.500, 0.500]],
  "total_magnetization_mub_per_cell": 3.465,
  "density_g_cm3": 9.5,
  "space_group": "No. 123",
  "energy_ev_per_fu": -27.8
}

=====

# 3
{
  "formula": "Sc2TaFe2",
  "functional": "PBE",
  "state": "optimized geometry",
  "lattice_angstrom": [[-1.284, 1.690, 2.125], [-2.674, -0.284, -1.390], [-3.167, -7.971, 4.425]],
  "species": ["Sc", "Sc", "Ta", "Fe", "Fe"],
  "fractional_positions": [[0.000, 0.166, 0.669], [0.000, 0.834, 0.331], [0.000, 0.000, 0.000], [0.500, 0.422, 0.157], [0.500, 0.578, 0.843]],
  "total_magnetization_mub_per_cell": 0.000,
  "relative_energy_mev_per_atom": 0,
  "density_g_cm3": 7.3,
  "formation_enthalpy_0k_ev_per_atom": -0.14,
  "space_group": "No. 65",
  "energy_ev_per_fu": -42.1
}

=====

# 4
{
  "formula": "Pr3Sm6Cd",
  "functional": "PBE",
  "state": "optimized geometry",
  "lattice_angstrom": [[5.218, 0.000, 0.000], [0.000, 11.028, -0.484], [0.000, -0.208, 11.576]],
  "species": ["Pr", "Pr", "Pr", "Pr", "Pr", "Pr", "Sm", "Sm", "Sm", "Sm", "Sm", "Sm", "Sm", "Sm", "Sm", "Sm", "Sm", "Sm", "Cd", "Cd"],
  "fractional_positions": [[0.250, 0.553, 0.405], [0.750, 0.447, 0.595], [0.250, 0.342, 0.788], [0.750, 0.658, 0.212], [0.250, 0.756, 0.015], [0.750, 0.244, 0.985], [0.250, 0.450, 0.100], [0.750, 0.550, 0.900], [0.250, 0.155, 0.178], [0.750, 0.845, 0.822], [0.250, 0.659, 0.706], [0.750, 0.341, 0.294], [0.250, 0.222, 0.487], [0.750, 0.778, 0.513], [0.250, 0.874, 0.324], [0.750, 0.126, 0.676], [0.250, 0.042, 0.886], [0.750, 0.958, 0.114], [0.250, 0.942, 0.613], [0.750, 0.058, 0.387]],
  "total_magnetization_mub_per_cell": 0.000,
  "relative_energy_mev_per_atom": 0,
  "density_g_cm3": 7.2,
  "formation_enthalpy_0k_ev_per_atom": -0.02,
  "space_group": "No. 11",
  "energy_ev_per_fu": -43.8
}

=====

# 5
{
  "formula": "K3Na2PdF9",
  "functional": "PBE",
  "state": "optimized geometry",
  "lattice_angstrom": [[-4.489, 1.885, -3.749], [-0.554, -5.321, 3.023], [-3.291, 3.614, 5.757]],
  "species": ["K", "K", "K", "Na", "Na", "Pd", "F", "F", "F", "F", "F", "F", "F", "F", "F"],
  "fractional_positions": [[0.333, 0.667, 0.742], [0.000, 0.000, 0.000], [0.667, 0.333, 0.258], [0.333, 0.667, 0.169], [0.667, 0.333, 0.831], [0.000, 0.000, 0.500], [0.851, 0.149, 0.650], [0.851, 0.701, 0.650], [0.299, 0.149, 0.650], [0.701, 0.851, 0.350], [0.149, 0.299, 0.350], [0.149, 0.851, 0.350], [0.500, 0.000, 0.000], [0.000, 0.500, 0.000], [0.500, 0.500, 0.000]],
  "total_magnetization_mub_per_cell": 0.000,
  "formation_energy_uncorrected_ev_per_atom": -2.3212,
  "density_g_cm3": 3.0,
  "space_group": "No. 164",
  "energy_ev_per_fu": -62.8
}

=====

# 6
{
  "formula": "Pu2NCl3",
  "functional": "PBE",
  "state": "optimized geometry",
  "lattice_angstrom": [[3.895, 0.000, 0.000], [1.947, 8.218, 0.438], [1.947, 2.377, 9.384]],
  "species": ["Pu", "Pu", "Pu", "Pu", "N", "N", "Cl", "Cl", "Cl", "Cl", "Cl", "Cl"],
  "fractional_positions": [[0.865, 0.477, 0.793], [0.135, 0.523, 0.207], [0.586, 0.282, 0.546], [0.414, 0.718, 0.454], [0.430, 0.492, 0.649], [0.570, 0.508, 0.351], [0.047, 0.148, 0.759], [0.953, 0.852, 0.241], [0.665, 0.681, 0.990], [0.335, 0.319, 0.010], [0.777, 0.828, 0.618], [0.223, 0.172, 0.382]],
  "total_magnetization_mub_per_cell": 0.275,
  "formation_energy_uncorrected_ev_per_atom": -1.7117,
  "density_g_cm3": 6.8,
  "space_group": "No. 12",
  "energy_ev_per_fu": -52.8
}

=====

# 7
{
  "formula": "Sr2Zn4Rh3",
  "functional": "PBE",
  "state": "optimized geometry",
  "lattice_angstrom": [[-0.659, -3.375, 4.813], [7.225, 1.598, 2.110], [-2.140, 7.715, 1.483]],
  "species": ["Sr", "Sr", "Sr", "Sr", "Zn", "Zn", "Zn", "Zn", "Zn", "Zn", "Zn", "Zn", "Rh", "Rh", "Rh", "Rh", "Rh", "Rh"],
  "fractional_positions": [[0.114, 0.597, 0.227], [0.886, 0.403, 0.773], [0.386, 0.097, 0.773], [0.614, 0.903, 0.227], [0.687, 0.750, 0.874], [0.813, 0.250, 0.126], [0.313, 0.250, 0.126], [0.187, 0.750, 0.874], [0.184, 0.989, 0.369], [0.816, 0.011, 0.631], [0.316, 0.489, 0.631], [0.684, 0.511, 0.369], [0.000, 0.000, 0.000], [0.500, 0.500, 0.000], [0.520, 0.750, 0.540], [0.980, 0.250, 0.460], [0.480, 0.250, 0.460], [0.020, 0.750, 0.540]],
  "total_magnetization_mub_per_cell": 0.000,
  "density_g_cm3": 7.2,
  "formation_enthalpy_0k_ev_per_atom": -0.33,
  "space_group": "No. 64",
  "energy_ev_per_fu": -33.5
}

=====

# 8
{
  "formula": "BeCrB2",
  "functional": "PBE",
  "state": "optimized geometry",
  "lattice_angstrom": [[2.991, 0.000, 0.000], [0.000, 8.140, 0.000], [0.000, 0.000, 9.918]],
  "species": ["Be", "Be", "Be", "Be", "Be", "Be", "Be", "Be", "Cr", "Cr", "Cr", "Cr", "Cr", "Cr", "Cr", "Cr", "B", "B", "B", "B", "B", "B", "B", "B", "B", "B", "B", "B", "B", "B", "B", "B"],
  "fractional_positions": [[0.750, 0.548, 0.940], [0.250, 0.048, 0.560], [0.250, 0.452, 0.060], [0.750, 0.952, 0.440], [0.750, 0.349, 0.188], [0.250, 0.849, 0.312], [0.250, 0.651, 0.812], [0.750, 0.151, 0.688], [0.750, 0.450, 0.696], [0.250, 0.950, 0.804], [0.250, 0.550, 0.304], [0.750, 0.050, 0.196], [0.750, 0.235, 0.944], [0.250, 0.735, 0.556], [0.250, 0.765, 0.056], [0.750, 0.265, 0.444], [0.750, 0.958, 0.978], [0.250, 0.458, 0.522], [0.250, 0.042, 0.022], [0.750, 0.542, 0.478], [0.750, 0.779, 0.891], [0.250, 0.279, 0.609], [0.250, 0.221, 0.109], [0.750, 0.721, 0.391], [0.750, 0.748, 0.722], [0.250, 0.248, 0.778], [0.250, 0.252, 0.278], [0.750, 0.752, 0.222], [0.750, 0.924, 0.634], [0.250, 0.424, 0.866], [0.250, 0.076, 0.366], [0.750, 0.576, 0.134]],
  "total_magnetization_mub_per_cell": 0.015,
  "density_g_cm3": 4.5,
  "formation_enthalpy_0k_ev_per_atom": -0.22,
  "space_group": "No. 62",
  "energy_ev_per_fu": -27.6
}

=====

# 9
{
  "formula": "UTlGaBr6",
  "functional": "PBE",
  "state": "optimized geometry",
  "lattice_angstrom": [[7.774, 0.000, 0.000], [-3.887, 6.733, 0.000], [0.000, 0.000, 13.811]],
  "species": ["U", "U", "Tl", "Tl", "Ga", "Ga", "Br", "Br", "Br", "Br", "Br", "Br", "Br", "Br", "Br", "Br", "Br", "Br"],
  "fractional_positions": [[0.667, 0.333, 0.250], [0.333, 0.667, 0.750], [0.000, 0.000, 0.000], [0.000, 0.000, 0.500], [0.333, 0.667, 0.250], [0.667, 0.333, 0.750], [0.652, 0.621, 0.134], [0.969, 0.348, 0.134], [0.348, 0.969, 0.634], [0.031, 0.652, 0.866], [0.379, 0.348, 0.366], [0.969, 0.621, 0.366], [0.621, 0.969, 0.866], [0.652, 0.031, 0.366], [0.031, 0.379, 0.634], [0.379, 0.031, 0.134], [0.621, 0.652, 0.634], [0.348, 0.379, 0.866]],
  "total_magnetization_mub_per_cell": 4.000,
  "formation_energy_uncorrected_ev_per_atom": -1.0628,
  "density_g_cm3": 4.6,
  "space_group": "No. 163",
  "energy_ev_per_fu": -36.3
}

=====

# 10
{
  "formula": "LiCuNi",
  "functional": "PBE",
  "state": "optimized geometry",
  "lattice_angstrom": [[-1.568, -1.188, -4.365], [2.835, -3.373, -0.101], [-3.297, -2.957, 6.185]],
  "species": ["Li", "Li", "Li", "Li", "Cu", "Cu", "Cu", "Cu", "Ni", "Ni", "Ni", "Ni"],
  "fractional_positions": [[0.496, 0.343, 0.167], [0.504, 0.343, 0.833], [0.496, 0.843, 0.667], [0.504, 0.843, 0.333], [0.000, 0.511, 0.170], [0.000, 0.511, 0.830], [0.000, 0.011, 0.670], [0.000, 0.011, 0.330], [0.000, 0.998, 0.000], [0.000, 0.498, 0.500], [0.500, 0.347, 0.500], [0.500, 0.847, 0.000]],
  "total_magnetization_mub_per_cell": 0.000,
  "relative_energy_mev_per_atom": 27,
  "density_g_cm3": 6.2,
  "formation_enthalpy_0k_ev_per_atom": -0.02,
  "space_group": "No. 5",
  "energy_ev_per_fu": -11.9
}

=====

# 11
{
  "formula": "AsPt2Br",
  "functional": "PBE",
  "state": "optimized geometry",
  "lattice_angstrom": [[3.622, 0.000, 0.000], [0.000, 3.098, 0.000], [0.000, 0.000, 7.582]],
  "species": ["As", "Br", "Pt", "Pt"],
  "fractional_positions": [[0.000, 0.000, 0.387], [0.500, 0.500, 0.814], [0.000, 0.000, 0.048], [0.500, 0.500, 0.251]],
  "total_magnetization_mub_per_cell": 0.000,
  "relative_energy_mev_per_atom": 278,
  "formation_energy_uncorrected_ev_per_atom": 0.1130,
  "density_g_cm3": 10.6,
  "space_group": "No. 25",
  "energy_ev_per_fu": -18.0
}

=====

# 12
{
  "formula": "HgPdI3",
  "functional": "PBE",
  "state": "optimized geometry",
  "lattice_angstrom": [[4.609, 0.000, 0.000], [0.000, 7.337, 0.000], [-2.304, 0.000, 10.609]],
  "species": ["Hg", "Hg", "Pd", "Pd", "I", "I", "I", "I", "I", "I"],
  "fractional_positions": [[0.376, 0.459, 0.752], [0.624, 0.959, 0.248], [0.834, 0.003, 0.668], [0.166, 0.503, 0.332], [0.930, 0.252, 0.860], [0.070, 0.752, 0.140], [0.611, 0.334, 0.223], [0.389, 0.834, 0.777], [0.739, 0.746, 0.478], [0.261, 0.246, 0.522]],
  "total_magnetization_mub_per_cell": 0.000,
  "relative_energy_mev_per_atom": 0,
  "formation_energy_uncorrected_ev_per_atom": -0.1006,
  "density_g_cm3": 6.4,
  "space_group": "No. 36",
  "energy_ev_per_fu": -10.6
}